# 1
The following is a DFT calculation (PBE-GGA) of a relaxed structure of AcTh2CrN4.

Computed properties:
Formation energy from raw total energies = -26.77 kcal/mol of atoms
SG = Cmcm, No. 63
N(E_F) = 4.57 states/eV/f.u.
Total moment = 0.3705 μB per atom

a = 3.5880 Å, b = 6.3601 Å, c = 12.1807 Å
α = 90.00°, β = 90.00°, γ = 106.38°
Last column: nearest neighbours and their distance in Å.
Atoms (fractional coordinates):
Th (0.3676, 0.7353, 0.5504)  6 N 2.46-2.59
N (0.7336, 0.4673, 0.6247)  1 Cr 1.94
Ac (0.0962, 0.1925, 0.7500)  6 N 2.78-2.89
Cr (0.8313, 0.6626, 0.7500)  4 N 1.94-2.11
Cr (0.1687, 0.3374, 0.2500)  4 N 1.94-2.11
Ac (0.9038, 0.8075, 0.2500)  6 N 2.78-2.89
N (0.2664, 0.5327, 0.1247)  1 Cr 1.94
N (0.5777, 0.1554, 0.2500)  2 Cr 2.11
Th (0.3676, 0.7353, 0.9496)  6 N 2.46-2.59
N (0.0000, 0.0000, 0.5000)  4 Th 2.49
N (0.2664, 0.5327, 0.3753)  1 Cr 1.94
N (0.4223, 0.8446, 0.7500)  2 Cr 2.11
Th (0.6324, 0.2647, 0.0504)  6 N 2.46-2.59
N (0.0000, 0.0000, 0.0000)  4 Th 2.49
N (0.7336, 0.4673, 0.8753)  1 Cr 1.94
Th (0.6324, 0.2647, 0.4496)  6 N 2.46-2.59

---

# 2
The following is a DFT calculation (PBE-GGA) of a relaxed structure of Mg2Cd2Ge.

Computed properties:
Energy above the most stable polymorph in this dataset = 0 meV/atom
SG = P4/mbm, No. 127
N(E_F) = 2.21 states/eV/f.u.
Total moment = 0.0000 μB per atom
Calculated formation energy = 66 meV per atom

a = 7.1014 Å, b = 7.1014 Å, c = 4.4982 Å
α = 90.00°, β = 90.00°, γ = 90.00°
Last column: nearest neighbours and their distance in Å.
Atoms (fractional coordinates):
Cd (0.1526, 0.6526, 0.5000)  6 Mg 2.99-3.12, 1 Cd 3.06
Cd (0.8474, 0.3474, 0.5000)  6 Mg 2.99-3.12, 1 Cd 3.06
Cd (0.6526, 0.8474, 0.5000)  6 Mg 2.99-3.12, 1 Cd 3.06
Mg (0.1516, 0.3484, 0.0000)  2 Ge 2.70, 2 Cd 2.99
Mg (0.6516, 0.1516, 0.0000)  2 Ge 2.70, 2 Cd 2.99
Cd (0.3474, 0.1526, 0.5000)  6 Mg 2.99-3.12, 1 Cd 3.06
Mg (0.3484, 0.8484, 0.0000)  2 Ge 2.70, 2 Cd 2.99
Ge (0.0000, 0.0000, 0.0000)  4 Mg 2.70
Mg (0.8484, 0.6516, 0.0000)  2 Ge 2.70, 2 Cd 2.99
Ge (0.5000, 0.5000, 0.0000)  4 Mg 2.70

---

# 3
The following is a DFT calculation (PBE-GGA) of a relaxed structure of CsCdF2.

Computed properties:
Formation energy from raw total energies = -43.44 kcal/mol of atoms
Energy above the most stable polymorph in this dataset = 35 meV/atom
SG = R-3m, No. 166
N(E_F) = 0.84 states/eV/f.u.
Total moment = 0.0000 μB per atom

a = 8.2382 Å, b = 8.2382 Å, c = 8.2382 Å
α = 28.97°, β = 28.97°, γ = 28.97°
Last column: nearest neighbours and their distance in Å.
Atoms (fractional coordinates):
F (0.0924, 0.0924, 0.0924)  1 Cd 2.19
Cd (0.0000, 0.0000, 0.0000)  2 F 2.19
Cs (0.5000, 0.5000, 0.5000)  6 F 2.96
F (0.9076, 0.9076, 0.9076)  1 Cd 2.19

---

# 4
The following is a DFT calculation (PBE-GGA) of a relaxed structure of MgZrZn2.

Computed properties:
SG = Cmmm, No. 65
N(E_F) = 2.49 states/eV/f.u.
Total moment = 0.0000 μB per atom
Calculated formation energy = -118 meV per atom

a = 5.2285 Å, b = 5.2285 Å, c = 2.8281 Å
α = 90.00°, β = 90.00°, γ = 107.37°
Last column: nearest neighbours and their distance in Å.
Atoms (fractional coordinates):
Mg (0.0000, 0.5000, 0.5000)  2 Mg 2.83, 8 Zn 2.97, 2 Zr 3.10
Zn (0.5000, 0.5000, 0.0000)  4 Zn 2.83-3.10, 4 Zr 2.97, 4 Mg 2.97
Zr (0.5000, 0.0000, 0.5000)  2 Zr 2.83, 8 Zn 2.97, 2 Mg 3.10
Zn (0.0000, 0.0000, 0.0000)  4 Zn 2.83-3.10, 4 Mg 2.97, 4 Zr 2.97

---

# 5
The following is a DFT calculation (PBE-GGA) of a relaxed structure of Li3Mg2Sn2.

Computed properties:
Energy above the most stable polymorph in this dataset = 105 meV/atom
SG = P2/m, No. 10
N(E_F) = 1.45 states/eV/f.u.
Total moment = 0.0000 μB per atom
Calculated formation energy = -188 meV per atom

a = 4.7845 Å, b = 3.1386 Å, c = 10.0701 Å
α = 90.00°, β = 76.24°, γ = 90.00°
Last column: nearest neighbours and their distance in Å.
Atoms (fractional coordinates):
Mg (0.5753, 0.0000, 0.8477)  3 Li 2.81-2.82, 3 Mg 2.98-3.14
Sn (0.1455, 0.5000, 0.7097)  8 Li 3.06-3.24, 2 Sn 3.14, 4 Mg 3.16-3.17
Li (0.2790, 0.0000, 0.4410)  2 Li 2.65-2.66, 1 Mg 2.82
Sn (0.8545, 0.5000, 0.2903)  8 Li 3.06-3.24, 2 Sn 3.14, 4 Mg 3.16-3.17
Li (0.0000, 0.0000, 0.0000)  4 Mg 2.81-2.82, 2 Li 3.14
Li (0.7210, 0.0000, 0.5590)  2 Li 2.65-2.66, 1 Mg 2.82
Mg (0.4247, 0.0000, 0.1523)  3 Li 2.81-2.82, 3 Mg 2.98-3.14

---

# 6
The following is a DFT calculation (PBE-GGA) of a relaxed structure of CaPm3Pr7.

Computed properties:
Energy above the most stable polymorph in this dataset = 12 meV/atom
SG = Immm, No. 71
N(E_F) = 16.85 states/eV/f.u.
Total moment = 0.0000 μB per atom
Calculated formation energy = 223 meV per atom

a = 6.1196 Å, b = 8.6992 Å, c = 8.6992 Å
α = 82.70°, β = 110.59°, γ = 110.59°
Last column: nearest neighbours and their distance in Å.
Atoms (fractional coordinates):
Pm (0.5000, 0.0000, 0.0000)  4 Pr 3.28
Pr (0.7963, 0.7967, 0.7967)  2 Pm 3.38, 1 Ca 3.42, 2 Pr 3.60
Pr (0.7001, 0.4023, 0.9979)  2 Pm 3.28-3.60, 3 Pr 3.45-3.60
Pr (0.7001, 0.9979, 0.4023)  2 Pm 3.28-3.60, 3 Pr 3.45-3.60
Pr (0.2037, 0.2033, 0.2033)  2 Pm 3.38, 1 Ca 3.42, 2 Pr 3.60
Pm (0.0000, 0.7882, 0.2118)  5 Pr 3.31-3.60
Ca (0.5000, 0.5000, 0.5000)  4 Pr 3.06-3.42
Pr (0.0000, 0.5000, 0.5000)  2 Ca 3.06, 2 Pm 3.31
Pr (0.2999, 0.5977, 0.0021)  2 Pm 3.28-3.60, 3 Pr 3.45-3.60
Pm (0.0000, 0.2118, 0.7882)  5 Pr 3.31-3.60
Pr (0.2999, 0.0021, 0.5977)  2 Pm 3.28-3.60, 3 Pr 3.45-3.60

---

# 7
The following is a DFT calculation (PBE-GGA) of a relaxed structure of BaLaReN4.

Computed properties:
Formation energy from raw total energies = -20.57 kcal/mol of atoms
SG = P2_1/m, No. 11
N(E_F) = 0.00 states/eV/f.u.
Total moment = 0.0000 μB per atom

a = 6.2478 Å, b = 6.0190 Å, c = 7.5213 Å
α = 90.00°, β = 106.75°, γ = 90.00°
Last column: nearest neighbours and their distance in Å.
Atoms (fractional coordinates):
Ba (0.2870, 0.2500, 0.0752)  4 N 2.81-2.90
N (0.5674, 0.2500, 0.8276)  1 Re 1.84
N (0.4326, 0.7500, 0.1724)  1 Re 1.84
N (0.0585, 0.9913, 0.2894)  1 Re 1.84
N (0.5698, 0.2500, 0.4412)  1 Re 1.81
Re (0.7526, 0.2500, 0.6769)  4 N 1.81-1.84
N (0.4302, 0.7500, 0.5588)  1 Re 1.81
N (0.9415, 0.4913, 0.7106)  1 Re 1.84
Ba (0.7130, 0.7500, 0.9248)  4 N 2.81-2.90
N (0.0585, 0.5087, 0.2894)  1 Re 1.84
La (0.7857, 0.7500, 0.4492)  6 N 2.48-2.76
N (0.9415, 0.0087, 0.7106)  1 Re 1.84
La (0.2143, 0.2500, 0.5508)  6 N 2.48-2.76
Re (0.2474, 0.7500, 0.3231)  4 N 1.81-1.84

---

# 8
The following is a DFT calculation (PBE-GGA) of a relaxed structure of LiPm2Be3Pt4.

Computed properties:
SG = P-4m2, No. 115
N(E_F) = 5.96 states/eV/f.u.
Total moment = 0.0000 μB per atom
Calculated formation energy = -849 meV per atom

a = 4.0427 Å, b = 4.0427 Å, c = 9.9794 Å
α = 90.00°, β = 90.00°, γ = 90.00°
Last column: nearest neighbours and their distance in Å.
Atoms (fractional coordinates):
Pm (0.5000, 0.0000, 0.2473)  8 Pt 3.07-3.19, 6 Be 3.13-3.23, 2 Li 3.23
Pm (0.0000, 0.5000, 0.7527)  8 Pt 3.07-3.19, 6 Be 3.13-3.23, 2 Li 3.23
Pt (0.0000, 0.0000, 0.0000)  4 Be 2.34
Be (0.5000, 0.0000, 0.8812)  5 Pt 2.34-2.40
Pt (0.5000, 0.5000, 0.0000)  4 Be 2.34
Be (0.0000, 0.0000, 0.5000)  4 Pt 2.46
Pt (0.5000, 0.0000, 0.6412)  3 Be 2.40-2.46, 2 Li 2.46
Pt (0.0000, 0.5000, 0.3588)  3 Be 2.40-2.46, 2 Li 2.46
Li (0.5000, 0.5000, 0.5000)  4 Pt 2.46
Be (0.0000, 0.5000, 0.1188)  5 Pt 2.34-2.40

---

# 9
The following is a DFT calculation (PBE-GGA) of a relaxed structure of AlSb.

Computed properties:
Formation energy from raw total energies = 4.96 kcal/mol of atoms
SG = Pmma, No. 51
N(E_F) = 0.83 states/eV/f.u.
Total moment = 0.0000 μB per atom

a = 3.2074 Å, b = 4.6994 Å, c = 6.3003 Å
α = 90.00°, β = 90.00°, γ = 90.00°
Last column: nearest neighbours and their distance in Å.
Atoms (fractional coordinates):
Al (0.0000, 0.0000, 0.0347)  4 Al 2.88-3.21, 6 Sb 3.02-3.11
Al (0.0000, 0.5000, 0.2986)  4 Al 2.88-3.21, 6 Sb 3.02-3.11
Sb (0.5000, 0.5000, 0.8754)  6 Al 3.02-3.11, 2 Sb 3.21
Sb (0.5000, 0.0000, 0.4579)  6 Al 3.02-3.11, 2 Sb 3.21

---

# 10
The following is a DFT calculation (PBE-GGA) of a relaxed structure of Tb2PtO4F.

Computed properties:
Formation energy from raw total energies = -58.41 kcal/mol of atoms
SG = C2/m, No. 12
N(E_F) = 1.26 states/eV/f.u.
Total moment = 0.0000 μB per atom

a = 3.4853 Å, b = 5.1222 Å, c = 6.6381 Å
α = 64.16°, β = 74.78°, γ = 70.11°
Last column: nearest neighbours and their distance in Å.
Atoms (fractional coordinates):
Pt (0.0000, 0.0000, 0.0000)  6 O 2.08-2.20
F (0.5000, 0.5000, 0.5000)  4 Tb 2.49, 2 O 2.65
Tb (0.1859, 0.3337, 0.2944)  6 O 2.28-2.54, 2 F 2.49
O (0.1676, 0.9841, 0.6807)  1 Pt 2.08, 2 Tb 2.28
O (0.3768, 0.2991, 0.9472)  2 Pt 2.20, 1 Tb 2.29
Tb (0.8141, 0.6663, 0.7056)  6 O 2.28-2.54, 2 F 2.49
O (0.8324, 0.0159, 0.3193)  1 Pt 2.08, 2 Tb 2.28
O (0.6232, 0.7009, 0.0528)  2 Pt 2.20, 1 Tb 2.29